Record 1
A geometry-optimized Fe2AgOs structure, computed with PBE.

Computed properties:
E ... -28.29 eV/f.u.
ΔE_f ... 678 meV/atom
Calculated volume ... 14.2 A^3/atom
Magnetization ... 1.456 μB per atom

CIF file:
```
data_Fe2AgOs
_chemical_formula_sum 'Fe2 Ag1 Os1'
_space_group_name_H-M_alt 'P 1'
_space_group_IT_number 1
_cell_length_a 4.314
_cell_length_b 4.314
_cell_length_c 4.314
_cell_angle_alpha 60.00
_cell_angle_beta 60.00
_cell_angle_gamma 60.00
loop_
_space_group_symop_operation_xyz
'x,y,z'
loop_
_atom_site_label
_atom_site_type_symbol
_atom_site_fract_x
_atom_site_fract_y
_atom_site_fract_z
Fe1 Fe 0.000 0.000 0.000
Fe2 Fe 0.250 0.250 0.250
Ag1 Ag 0.750 0.750 0.750
Os1 Os 0.500 0.500 0.500
```

Record 2
A geometry-optimized Fe2AgOs structure, computed with PBE.

Computed properties:
E ... -29.72 eV/f.u.
ΔE_f ... 321 meV/atom
Calculated volume ... 14.1 A^3/atom
Magnetization ... 1.304 μB per atom

CIF file:
```
data_Fe2AgOs
_chemical_formula_sum 'Fe2 Ag1 Os1'
_space_group_name_H-M_alt 'P 1'
_space_group_IT_number 1
_cell_length_a 8.945
_cell_length_b 8.945
_cell_length_c 8.945
_cell_angle_alpha 17.50
_cell_angle_beta 17.50
_cell_angle_gamma 17.50
loop_
_space_group_symop_operation_xyz
'x,y,z'
loop_
_atom_site_label
_atom_site_type_symbol
_atom_site_fract_x
_atom_site_fract_y
_atom_site_fract_z
Fe1 Fe 0.000 0.000 0.000
Fe2 Fe 0.259 0.259 0.259
Ag1 Ag 0.505 0.505 0.505
Os1 Os 0.743 0.743 0.743
```

Record 3
A geometry-optimized Fe2AgOs structure, computed with PBE.

Computed properties:
E ... -27.11 eV/f.u.
ΔE_f ... 975 meV/atom
Calculated volume ... 14.9 A^3/atom
Magnetization ... 0.244 μB per atom

CIF file:
```
data_Fe2AgOs
_chemical_formula_sum 'Fe4 Ag2 Os2'
_space_group_name_H-M_alt 'P 1'
_space_group_IT_number 1
_cell_length_a 5.433
_cell_length_b 5.433
_cell_length_c 5.433
_cell_angle_alpha 103.99
_cell_angle_beta 103.99
_cell_angle_gamma 121.09
loop_
_space_group_symop_operation_xyz
'x,y,z'
loop_
_atom_site_label
_atom_site_type_symbol
_atom_site_fract_x
_atom_site_fract_y
_atom_site_fract_z
Fe1 Fe 0.081 0.125 0.456
Fe2 Fe 0.375 0.919 0.044
Fe3 Fe 0.669 0.625 0.544
Fe4 Fe 0.875 0.331 0.956
Ag1 Ag 0.250 0.750 0.500
Ag2 Ag 0.500 0.500 0.000
Os1 Os 0.000 0.000 0.000
Os2 Os 0.750 0.250 0.500
```

Record 4
A geometry-optimized Fe2AgOs structure, computed with PBE.

Computed properties:
E ... -28.67 eV/f.u.
ΔE_f ... 583 meV/atom
Calculated volume ... 14.3 A^3/atom
Magnetization ... 1.536 μB per atom

CIF file:
```
data_Fe2AgOs
_chemical_formula_sum 'Fe2 Ag1 Os1'
_space_group_name_H-M_alt 'P 1'
_space_group_IT_number 1
_cell_length_a 5.058
_cell_length_b 5.058
_cell_length_c 5.058
_cell_angle_alpha 145.68
_cell_angle_beta 127.42
_cell_angle_gamma 64.31
loop_
_space_group_symop_operation_xyz
'x,y,z'
loop_
_atom_site_label
_atom_site_type_symbol
_atom_site_fract_x
_atom_site_fract_y
_atom_site_fract_z
Fe1 Fe 0.240 0.240 0.000
Fe2 Fe 0.760 0.760 0.000
Ag1 Ag 0.500 0.000 0.500
Os1 Os 0.000 0.500 0.500
```

Record 5
A geometry-optimized Fe2AgOs structure, computed with PBE.

Computed properties:
E ... -29.47 eV/f.u.
ΔE_f ... 384 meV/atom
Calculated volume ... 14.2 A^3/atom
Magnetization ... 1.341 μB per atom

CIF file:
```
data_Fe2AgOs
_chemical_formula_sum 'Fe2 Ag1 Os1'
_space_group_name_H-M_alt 'P 1'
_space_group_IT_number 1
_cell_length_a 2.652
_cell_length_b 2.652
_cell_length_c 8.974
_cell_angle_alpha 90.00
_cell_angle_beta 90.00
_cell_angle_gamma 115.58
loop_
_space_group_symop_operation_xyz
'x,y,z'
loop_
_atom_site_label
_atom_site_type_symbol
_atom_site_fract_x
_atom_site_fract_y
_atom_site_fract_z
Fe1 Fe 0.000 0.000 0.000
Fe2 Fe 0.500 0.500 0.219
Ag1 Ag 0.000 0.000 0.481
Os1 Os 0.500 0.500 0.766
```

Record 6
A geometry-optimized Fe2AgOs structure, computed with PBE.

Computed properties:
E ... -28.93 eV/f.u.
ΔE_f ... 518 meV/atom
Calculated volume ... 13.9 A^3/atom
Magnetization ... 1.399 μB per atom

CIF file:
```
data_Fe2AgOs
_chemical_formula_sum 'Fe2 Ag1 Os1'
_space_group_name_H-M_alt 'P 1'
_space_group_IT_number 1
_cell_length_a 4.533
_cell_length_b 4.533
_cell_length_c 4.533
_cell_angle_alpha 128.48
_cell_angle_beta 128.48
_cell_angle_gamma 75.85
loop_
_space_group_symop_operation_xyz
'x,y,z'
loop_
_atom_site_label
_atom_site_type_symbol
_atom_site_fract_x
_atom_site_fract_y
_atom_site_fract_z
Fe1 Fe 0.250 0.750 0.500
Fe2 Fe 0.750 0.250 0.500
Ag1 Ag 0.000 0.000 0.000
Os1 Os 0.500 0.500 0.000
```

Record 7
A geometry-optimized Fe2AgOs structure, computed with PBE.

Computed properties:
E ... -29.44 eV/f.u.
ΔE_f ... 391 meV/atom
Calculated volume ... 14.3 A^3/atom
Magnetization ... 1.487 μB per atom

CIF file:
```
data_Fe2AgOs
_chemical_formula_sum 'Fe2 Ag1 Os1'
_space_group_name_H-M_alt 'P 1'
_space_group_IT_number 1
_cell_length_a 2.654
_cell_length_b 2.654
_cell_length_c 8.821
_cell_angle_alpha 90.00
_cell_angle_beta 90.00
_cell_angle_gamma 112.74
loop_
_space_group_symop_operation_xyz
'x,y,z'
loop_
_atom_site_label
_atom_site_type_symbol
_atom_site_fract_x
_atom_site_fract_y
_atom_site_fract_z
Fe1 Fe 0.000 0.000 0.237
Fe2 Fe 0.000 0.000 0.763
Ag1 Ag 0.500 0.500 0.500
Os1 Os 0.500 0.500 0.000
```

Record 8
A geometry-optimized Fe2AgOs2 structure, computed with PBE.

Computed properties:
E ... -40.17 eV/f.u.
ΔE_f ... 413 meV/atom
Calculated volume ... 13.8 A^3/atom
Magnetization ... 0.000 μB per atom
E above lowest polymorph ... 0.00 eV per formula unit

CIF file:
```
data_Fe2AgOs2
_chemical_formula_sum 'Fe4 Ag2 Os4'
_space_group_name_H-M_alt 'P 1'
_space_group_IT_number 1
_cell_length_a 7.236
_cell_length_b 7.236
_cell_length_c 2.626
_cell_angle_alpha 90.00
_cell_angle_beta 90.00
_cell_angle_gamma 90.00
loop_
_space_group_symop_operation_xyz
'x,y,z'
loop_
_atom_site_label
_atom_site_type_symbol
_atom_site_fract_x
_atom_site_fract_y
_atom_site_fract_z
Fe1 Fe 0.120 0.380 0.000
Fe2 Fe 0.380 0.880 0.000
Fe3 Fe 0.620 0.120 0.000
Fe4 Fe 0.880 0.620 0.000
Ag1 Ag 0.000 0.000 0.000
Ag2 Ag 0.500 0.500 0.000
Os1 Os 0.169 0.669 0.500
Os2 Os 0.331 0.169 0.500
Os3 Os 0.669 0.831 0.500
Os4 Os 0.831 0.331 0.500
```